The following is a GGA-PBE calculation of crystalline Pr2Ge4PdPt at its relaxed geometry, from the Open Quantum Materials Database.

calculated total energy = -5.75 eV per atom

Cell lengths 4.392, 4.450, 8.904 Å; angles 90.00, 104.08, 90.00 degrees
Fractional positions:
Pr (0.000, 0.000, 0.000)
Pr (0.226, 0.500, 0.433)
Ge (0.364, 0.000, 0.720)
Ge (0.546, 0.500, 0.146)
Ge (0.682, 0.000, 0.288)
Ge (0.863, 0.500, 0.717)
Pd (0.436, 0.500, 0.863)
Pt (0.791, 0.000, 0.572)